DFT (PBE) results for Th2SiPd after structural relaxation.

Lattice parameters (Å, degrees): 6.039 4.145 8.375 90.00 110.57 90.00
Space group P2_1/m (No. 11)
Symmetry-distinct sites (fractional):
Th  0.205  0.250  0.414 (multiplicity 2)
Th  0.214  0.250  0.938 (multiplicity 2)
Si  0.339  0.750  0.707 (multiplicity 2)
Pd  0.379  0.750  0.220 (multiplicity 2)

Results
* total magnetization: 0.00 Bohr magnetons per cell
* uncorrected formation energy: -0.72 eV/atom
* polymorph energy (0 for the lowest one): 0.000 eV/atom